Material: Na2SbO2
Method: DFT, PBE-GGA
State: relaxed

Values from the calculation:
The uncorrected formation energy comes out at -1180 meV per atom. The total magnetization is 0.000 μB/atom. The offset from the most stable computed form is 76 kJ/mol of formula units.

Cell lengths 3.3336, 3.3336, 13.8916 Å; angles 90.00, 90.00, 90.00 degrees
Space group I4/mmm (No. 139)
Unique sites:
1 Na 0.0000 0.0000 0.1774 x4
2 Sb 0.0000 0.0000 0.5000 x2
3 O 0.0000 0.0000 0.3524 x4

***

Material: Dy3Y5Tm3
Method: DFT, PBE-GGA
State: relaxed

Values from the calculation:
The energy of formation from the pure elements comes out at 0.364 eV/atom. The total magnetization is 0.000 μB/atom.

Cell lengths 11.0556, 11.0556, 3.4338 Å; angles 90.00, 90.00, 120.00 degrees
Space group P-62m (No. 189)
Unique sites:
1 Dy 0.0000 0.6579 0.0000 x3
2 Y 0.0000 0.1617 0.0000 x3
3 Y 0.3333 0.6667 0.0000 x2
4 Tm 0.0000 0.4079 0.5000 x3

***

Material: LiGdPuTc
Method: DFT, PBE-GGA
State: relaxed

Values from the calculation:
The energy of formation from the pure elements comes out at 0.121 eV/atom. The total magnetization is 0.572 μB/atom.

Cell lengths 6.9350, 6.9350, 6.9350 Å; angles 90.00, 90.00, 90.00 degrees
Space group F-43m (No. 216)
Unique sites:
1 Li 0.0000 0.0000 0.0000 x4
2 Gd 0.2500 0.2500 0.7500 x4
3 Pu 0.2500 0.2500 0.2500 x4
4 Tc 0.0000 0.0000 0.5000 x4

***

Material: Tl6BrCl5
Method: DFT, PBE-GGA
State: relaxed

Values from the calculation:
The uncorrected formation energy comes out at -988 meV per atom. The total magnetization is 0.000 μB/atom.

Cell lengths 8.0151, 13.8906, 8.0159 Å; angles 90.00, 109.52, 90.00 degrees
Space group C2/m (No. 12)
Unique sites:
1 Tl 0.2439 0.0000 0.2538 x4
2 Tl 0.2447 0.1703 0.7465 x8
3 Br 0.0000 0.5000 0.0000 x2
4 Cl 0.0000 0.0000 0.5000 x2
5 Cl 0.0000 0.1684 0.0000 x4
6 Cl 0.0000 0.3366 0.5000 x4

***

Number 1: VASP energy -4.516 eV/atom. Number 2: VASP energy -5.049 eV/atom. Number 3: VASP energy -10.052 eV/atom. Number 4: VASP energy -3.080 eV/atom.